Pr7Se5S: optimized geometry, PBE.

a = 4.123 Å, b = 7.259 Å, c = 25.400 Å
α = 91.66°, β = 90.00°, γ = 106.50°
Sites, in units of the cell vectors:
Pr (0.460, 0.920, 0.248)
Pr (0.540, 0.081, 0.752)
Pr (0.644, 0.287, 0.038)
Pr (0.358, 0.716, 0.962)
Pr (0.364, 0.729, 0.539)
Pr (0.636, 0.271, 0.461)
Pr (0.210, 0.420, 0.183)
Pr (0.791, 0.582, 0.817)
Pr (0.804, 0.608, 0.679)
Pr (0.196, 0.392, 0.321)
Pr (0.929, 0.859, 0.109)
Pr (0.072, 0.144, 0.891)
Pr (0.092, 0.183, 0.616)
Pr (0.908, 0.817, 0.383)
Se (0.001, 0.002, 0.000)
Se (0.717, 0.433, 0.926)
Se (0.285, 0.569, 0.074)
Se (0.552, 0.103, 0.353)
Se (0.448, 0.897, 0.647)
Se (0.000, 0.000, 0.500)
Se (0.278, 0.556, 0.429)
Se (0.722, 0.444, 0.571)
Se (0.432, 0.864, 0.853)
Se (0.569, 0.138, 0.148)
S (0.815, 0.631, 0.272)
S (0.185, 0.370, 0.728)

Calculated values
Symmetry = No. 8



Pr3SeS2: optimized geometry, PBE.

a = 4.264 Å, b = 7.313 Å, c = 10.899 Å
α = 90.00°, β = 90.00°, γ = 106.95°
Sites, in units of the cell vectors:
Pr (0.643, 0.287, 0.056)
Pr (0.096, 0.192, 0.750)
Pr (0.643, 0.287, 0.444)
Pr (0.904, 0.808, 0.250)
Pr (0.357, 0.713, 0.944)
Pr (0.357, 0.713, 0.556)
Se (0.246, 0.493, 0.250)
Se (0.754, 0.507, 0.750)
S (0.000, 0.000, 0.000)
S (0.000, 0.000, 0.500)
S (0.523, 0.046, 0.250)
S (0.477, 0.954, 0.750)

Calculated values
Symmetry = No. 63



Pr5SeS4: optimized geometry, PBE.

a = 4.132 Å, b = 5.854 Å, c = 10.969 Å
α = 105.48°, β = 100.86°, γ = 90.00°
Sites, in units of the cell vectors:
Pr (0.605, 0.105, 0.210)
Pr (0.801, 0.301, 0.601)
Pr (0.199, 0.699, 0.399)
Pr (0.000, 0.500, 0.000)
Pr (0.395, 0.895, 0.790)
Se (0.000, 0.000, 0.000)
S (0.400, 0.400, 0.800)
S (0.798, 0.798, 0.596)
S (0.202, 0.202, 0.404)
S (0.600, 0.600, 0.200)

Calculated values
Symmetry = No. 71



Pr6SeS5: optimized geometry, PBE.

a = 7.166 Å, b = 7.166 Å, c = 7.157 Å
α = 99.61°, β = 99.61°, γ = 120.13°
Sites, in units of the cell vectors:
Pr (0.428, 0.086, 0.259)
Pr (0.914, 0.572, 0.741)
Pr (0.256, 0.256, 0.742)
Pr (0.744, 0.744, 0.258)
Pr (0.086, 0.428, 0.259)
Pr (0.572, 0.914, 0.741)
S (0.837, 0.163, 0.500)
S (0.667, 0.333, 0.000)
S (0.500, 0.500, 0.500)
S (0.333, 0.667, 0.000)
S (0.163, 0.837, 0.500)
Se (0.000, 0.000, 0.000)

Calculated values
Symmetry = No. 12



Pr6Se5S: optimized geometry, PBE.

a = 7.352 Å, b = 7.352 Å, c = 7.349 Å
α = 99.57°, β = 99.57°, γ = 120.09°
Sites, in units of the cell vectors:
Pr (0.396, 0.079, 0.237)
Pr (0.921, 0.604, 0.763)
Pr (0.238, 0.238, 0.761)
Pr (0.762, 0.762, 0.239)
Pr (0.079, 0.396, 0.237)
Pr (0.604, 0.921, 0.763)
S (0.000, 0.000, 0.000)
Se (0.828, 0.172, 0.500)
Se (0.666, 0.334, 0.000)
Se (0.500, 0.500, 0.500)
Se (0.334, 0.666, 0.000)
Se (0.172, 0.828, 0.500)

Calculated values
Symmetry = No. 12



Pr2Se2S: optimized geometry, PBE.

a = 6.386 Å, b = 7.837 Å, c = 7.650 Å
α = 120.81°, β = 114.67°, γ = 90.00°
Sites, in units of the cell vectors:
Pr (0.390, 0.637, 0.779)
Pr (0.610, 0.363, 0.221)
Pr (0.110, 0.857, 0.221)
Pr (0.890, 0.143, 0.779)
Se (0.856, 0.723, 0.713)
Se (0.144, 0.277, 0.287)
Se (0.644, 0.010, 0.287)
Se (0.356, 0.990, 0.713)
S (0.750, 0.500, 0.000)
S (0.250, 0.500, 0.000)

Calculated values
Symmetry = No. 72



Pr5Se2S2: optimized geometry, PBE.

a = 7.908 Å, b = 8.384 Å, c = 8.384 Å
α = 124.24°, β = 90.00°, γ = 90.00°
Sites, in units of the cell vectors:
Pr (0.000, 0.000, 0.000)
Pr (0.500, 0.500, 0.500)
Pr (0.150, 0.199, 0.480)
Pr (0.850, 0.520, 0.801)
Pr (0.650, 0.020, 0.301)
Pr (0.350, 0.699, 0.980)
Pr (0.850, 0.801, 0.520)
Pr (0.150, 0.480, 0.199)
Pr (0.350, 0.980, 0.699)
Pr (0.650, 0.301, 0.020)
Se (0.353, 0.145, 0.145)
Se (0.647, 0.855, 0.855)
Se (0.853, 0.355, 0.355)
Se (0.147, 0.645, 0.645)
S (0.000, 0.806, 0.194)
S (0.500, 0.306, 0.694)
S (0.000, 0.194, 0.806)
S (0.500, 0.694, 0.306)

Calculated values
Symmetry = No. 64



Pr8SiSe4S3: optimized geometry, PBE.

a = 8.377 Å, b = 8.504 Å, c = 8.376 Å
α = 119.50°, β = 120.00°, γ = 90.00°
Sites, in units of the cell vectors:
Pr (0.244, 0.732, 0.989)
Pr (0.243, 0.730, 0.486)
Pr (0.258, 0.271, 0.515)
Pr (0.745, 0.732, 0.989)
Pr (0.255, 0.268, 0.011)
Pr (0.742, 0.729, 0.485)
Pr (0.757, 0.270, 0.514)
Pr (0.756, 0.268, 0.011)
Si (0.000, 0.500, 0.000)
Se (0.500, 0.000, 0.000)
Se (0.500, 0.000, 0.500)
Se (0.000, 0.000, 0.000)
Se (0.000, 0.000, 0.500)
S (0.500, 0.500, 0.000)
S (0.500, 0.500, 0.500)
S (0.000, 0.500, 0.500)

Calculated values
Symmetry = No. 12



no.,uncorrected formation energy (eV per formula unit),total magnetic moment (Bohr magnetons per cell),Fermi-level density of states (states/eV per atom)
1,-21.4,0.00,0.6352
2,-9.6,0.00,0.6640
3,-19.7,0.00,0.5099
4,-23.9,0.00,0.4517
5,-22.5,0.00,0.3992
6,-9.3,0.00,0.1033
7,-13.5,0.00,0.5407
8,-29.0,0.00,0.3395